[1]
# Tb2TlSb (PBE-GGA, relaxed)
# - Distance to the lowest polymorph of the same formula: 70 meV/atom
# - Space-group type: R-3m (166)
# - Raw formation energy: -0.659 eV per atom
data_Tb2TlSb
_chemical_formula_sum 'Tb2 Tl1 Sb1'
_space_group_name_H-M_alt 'P 1'
_space_group_IT_number 1
_space_group_name_Hall 'P 1'
_cell_length_a 4.1957
_cell_length_b 4.1957
_cell_length_c 8.3767
_cell_angle_alpha 75.50
_cell_angle_beta 75.50
_cell_angle_gamma 60.00
loop_
_atom_site_label
_atom_site_type_symbol
_atom_site_fract_x
_atom_site_fract_y
_atom_site_fract_z
Tb1 Tb 0.7434 0.7434 0.7697
Tb2 Tb 0.2566 0.2566 0.2303
Sb1 Sb 0.0000 0.0000 0.0000
Tl1 Tl 0.5000 0.5000 0.5000

[2]
# TcAsW (PBE-GGA, relaxed)
# - Distance to the lowest polymorph of the same formula: 130 meV/atom
# - Energy of formation from the pure elements: 0.2115 eV per atom
# - Space-group type: Imm2 (44)
data_TcAsW
_chemical_formula_sum 'Tc1 As1 W1'
_space_group_name_H-M_alt 'P 1'
_space_group_IT_number 1
_space_group_name_Hall 'P 1'
_cell_length_a 4.5890
_cell_length_b 4.5890
_cell_length_c 4.5890
_cell_angle_alpha 142.49
_cell_angle_beta 126.63
_cell_angle_gamma 67.06
loop_
_atom_site_label
_atom_site_type_symbol
_atom_site_fract_x
_atom_site_fract_y
_atom_site_fract_z
Tc1 Tc 0.3306 0.3306 0.0000
W1 W 0.6687 0.6687 0.0000
As1 As 0.0007 0.0007 0.0000

[3]
# AlCuSiRh (PBE-GGA, relaxed)
# - Space-group type: F-43m (216)
# - Raw formation energy: -0.398 eV per atom
data_AlCuSiRh
_chemical_formula_sum 'Al1 Cu1 Si1 Rh1'
_space_group_name_H-M_alt 'P 1'
_space_group_IT_number 1
_space_group_name_Hall 'P 1'
_cell_length_a 4.2079
_cell_length_b 4.2079
_cell_length_c 4.2079
_cell_angle_alpha 60.00
_cell_angle_beta 60.00
_cell_angle_gamma 60.00
loop_
_atom_site_label
_atom_site_type_symbol
_atom_site_fract_x
_atom_site_fract_y
_atom_site_fract_z
Cu1 Cu 0.7500 0.7500 0.7500
Si1 Si 0.5000 0.5000 0.5000
Al1 Al 0.0000 0.0000 0.0000
Rh1 Rh 0.2500 0.2500 0.2500

VASP energy for the records above, in order: -18.39; -27.33; -22.20 eV for the cell shown